Crystalline NpNiGe2Pd at its relaxed geometry. Source: Alexandria, functional PBE.

a b c (Å): 4.1259 4.1259 5.9216
angles (deg): 110.39 110.39 90.00
Closest atoms and distances in Å follow each position.
Fractional coordinates of all 5 atoms:
Ge1 0.3798 0.3798 0.7595  2 Ni 2.46, 2 Pd 2.46, 1 Ge 2.48
Ge2 0.6202 0.6202 0.2405  2 Ni 2.46, 2 Pd 2.46, 1 Ge 2.48
Pd1 0.7500 0.2500 0.5000  4 Ge 2.46
Np1 0.0000 0.0000 0.0000  8 Ge 3.17, 4 Ni 3.30, 4 Pd 3.30
Ni1 0.2500 0.7500 0.5000  4 Ge 2.46

Calculated values
* DFT formation energy: -360.5 meV per atom
* SG: I-4m2 (119)
* energy: -0.51379 Ry/atom